Record 1
## YZn4Pd8 (PBE)

Data for an optimized crystal structure of YZn4Pd8.

abc: 5.305 6.789 6.789
angles: 81.22 67.00 67.00
Sites, in units of the cell vectors:
Zn 0.000 0.500 0.000
Zn 0.500 0.000 0.500
Zn 0.000 0.000 0.500
Zn 0.500 0.500 0.000
Pd 0.278 0.222 0.222
Pd 0.500 0.778 0.222
Pd 0.341 0.659 0.659
Pd 0.659 0.341 0.341
Pd 0.000 0.341 0.659
Pd 0.500 0.222 0.778
Pd 0.722 0.778 0.778
Pd 0.000 0.659 0.341
Y 0.000 0.000 0.000

Values from the calculation:
spin magnetization: 0.000 μB/f.u.
formation enthalpy at 0 K: -7.26 eV per formula unit
DFT total energy: -0.34130 Ry/atom

***

Record 2
## Y2Zn5Pd4 (PBE)

Data for an optimized crystal structure of Y2Zn5Pd4.

abc: 5.287 5.249 8.815
angles: 81.31 72.55 59.76
Sites, in units of the cell vectors:
Pd 0.535 0.675 0.255
Pd 0.465 0.325 0.745
Pd 0.790 0.675 0.745
Pd 0.210 0.325 0.255
Zn 0.500 0.000 0.000
Zn 0.250 0.500 0.500
Zn 0.750 0.500 0.500
Zn 0.500 0.500 0.000
Zn 0.000 0.500 0.000
Y 0.860 0.000 0.281
Y 0.140 0.000 0.719

Values from the calculation:
spin magnetization: 0.000 μB/f.u.
formation enthalpy at 0 K: -6.66 eV per formula unit
DFT total energy: -0.31222 Ry/atom

***

Record 3
## YZn3Pd (PBE)

Data for an optimized crystal structure of YZn3Pd.

abc: 4.742 4.742 4.742
angles: 90.00 90.00 90.00
Sites, in units of the cell vectors:
Zn 0.500 0.000 0.000
Zn 0.000 0.500 0.000
Zn 0.000 0.000 0.500
Y 0.500 0.500 0.500
Pd 0.000 0.000 0.000

Values from the calculation:
E above lowest polymorph: 286 meV/atom
spin magnetization: 0.000 μB/f.u.
formation enthalpy at 0 K: -0.76 eV per formula unit
DFT total energy: -0.23877 Ry/atom

***

Record 4
## Y3Zn8Pd3 (PBE)

Data for an optimized crystal structure of Y3Zn8Pd3.

abc: 4.183 8.277 8.277
angles: 68.20 75.36 75.36
Sites, in units of the cell vectors:
Zn 0.180 0.183 0.457
Zn 0.820 0.543 0.817
Zn 0.626 0.099 0.650
Zn 0.820 0.817 0.543
Zn 0.374 0.350 0.901
Zn 0.180 0.457 0.183
Zn 0.374 0.901 0.350
Zn 0.626 0.650 0.099
Y 0.500 0.500 0.500
Y 0.827 0.173 0.173
Y 0.173 0.827 0.827
Pd 0.000 0.768 0.232
Pd 0.000 0.232 0.768
Pd 0.500 0.000 0.000

Values from the calculation:
spin magnetization: 0.000 μB/f.u.
formation enthalpy at 0 K: -7.27 eV per formula unit
DFT total energy: -0.27526 Ry/atom

***

Record 5
## Y3Zn4Pd2 (PBE)

Data for an optimized crystal structure of Y3Zn4Pd2.

abc: 4.438 5.763 8.482
angles: 112.74 90.00 112.65
Sites, in units of the cell vectors:
Zn 0.968 0.937 0.628
Zn 0.281 0.561 0.949
Zn 0.032 0.063 0.372
Zn 0.719 0.439 0.051
Pd 0.596 0.193 0.264
Pd 0.404 0.807 0.736
Y 0.319 0.639 0.352
Y 0.681 0.361 0.648
Y 0.000 0.000 0.000

Values from the calculation:
spin magnetization: 0.000 μB/f.u.
formation enthalpy at 0 K: -5.35 eV per formula unit
DFT total energy: -0.32849 Ry/atom

***

Record 6
## Y3Zn2Pd4 (PBE)

Data for an optimized crystal structure of Y3Zn2Pd4.

abc: 4.299 5.373 8.739
angles: 94.99 90.00 113.58
Sites, in units of the cell vectors:
Pd 0.916 0.832 0.364
Pd 0.287 0.573 0.912
Pd 0.084 0.168 0.636
Pd 0.713 0.427 0.088
Y 0.375 0.750 0.617
Y 0.625 0.250 0.383
Y 0.000 0.000 0.000
Zn 0.321 0.643 0.219
Zn 0.679 0.357 0.781

Values from the calculation:
E above lowest polymorph: 3 meV/atom
spin magnetization: 0.000 μB/f.u.
formation enthalpy at 0 K: -6.77 eV per formula unit
DFT total energy: -0.40413 Ry/atom

***

Record 7
## Y2Zn12Pd5 (PBE)

Data for an optimized crystal structure of Y2Zn12Pd5.

abc: 6.839 6.839 6.839
angles: 83.53 83.53 83.53
Sites, in units of the cell vectors:
Zn 0.350 0.845 0.350
Zn 0.292 0.708 0.000
Zn 0.000 0.292 0.708
Zn 0.292 0.000 0.708
Zn 0.000 0.708 0.292
Zn 0.708 0.000 0.292
Zn 0.650 0.650 0.155
Zn 0.845 0.350 0.350
Zn 0.650 0.155 0.650
Zn 0.155 0.650 0.650
Zn 0.350 0.350 0.845
Zn 0.708 0.292 0.000
Pd 0.104 0.104 0.104
Pd 0.896 0.896 0.896
Pd 0.000 0.000 0.500
Pd 0.500 0.000 0.000
Pd 0.000 0.500 0.000
Y 0.326 0.326 0.326
Y 0.674 0.674 0.674

Values from the calculation:
spin magnetization: 0.000 μB/f.u.
formation enthalpy at 0 K: -8.03 eV per formula unit
DFT total energy: -0.24066 Ry/atom

***

Record 8
## YZnPd5 (PBE)

Data for an optimized crystal structure of YZnPd5.

abc: 4.156 4.156 7.068
angles: 90.00 90.00 90.00
Sites, in units of the cell vectors:
Pd 0.000 0.500 0.213
Pd 0.000 0.500 0.787
Pd 0.500 0.000 0.213
Pd 0.500 0.500 0.500
Pd 0.500 0.000 0.787
Zn 0.500 0.500 0.000
Y 0.000 0.000 0.500

Values from the calculation:
spin magnetization: 0.000 μB/f.u.
formation enthalpy at 0 K: -3.81 eV per formula unit
DFT total energy: -0.39384 Ry/atom

***

Record 9
## Y4Zn3Pd (PBE)

Data for an optimized crystal structure of Y4Zn3Pd.

abc: 3.580 3.580 14.098
angles: 90.00 90.00 90.00
Sites, in units of the cell vectors:
Y 0.000 0.000 0.121
Y 0.000 0.000 0.879
Y 0.000 0.000 0.626
Y 0.000 0.000 0.374
Pd 0.500 0.500 0.000
Zn 0.500 0.500 0.250
Zn 0.500 0.500 0.500
Zn 0.500 0.500 0.750

Values from the calculation:
spin magnetization: 0.000 μB/f.u.
formation enthalpy at 0 K: -3.98 eV per formula unit
DFT total energy: -0.35692 Ry/atom

***

Record 10
## Y2Zn16Pd (PBE)

Data for an optimized crystal structure of Y2Zn16Pd.

abc: 6.787 6.787 6.787
angles: 82.80 82.80 82.80
Sites, in units of the cell vectors:
Zn 0.354 0.354 0.837
Zn 0.998 0.706 0.292
Zn 0.998 0.292 0.706
Zn 0.706 0.998 0.292
Zn 0.998 0.503 0.998
Zn 0.292 0.998 0.706
Zn 0.998 0.998 0.503
Zn 0.157 0.649 0.649
Zn 0.354 0.837 0.354
Zn 0.706 0.292 0.998
Zn 0.292 0.706 0.998
Zn 0.837 0.354 0.354
Zn 0.649 0.157 0.649
Zn 0.503 0.998 0.998
Zn 0.103 0.103 0.103
Zn 0.649 0.649 0.157
Pd 0.902 0.902 0.902
Y 0.338 0.338 0.338
Y 0.666 0.666 0.666

Values from the calculation:
spin magnetization: 0.000 μB/f.u.
formation enthalpy at 0 K: -5.49 eV per formula unit
DFT total energy: -0.17019 Ry/atom

***

Record 11
## Y6ZnPd (PBE)

Data for an optimized crystal structure of Y6ZnPd.

abc: 5.008 5.008 9.515
angles: 74.74 74.72 90.00
Sites, in units of the cell vectors:
Pd 0.000 0.000 0.000
Y 0.747 0.747 0.506
Y 0.399 0.899 0.201
Y 0.253 0.253 0.494
Y 0.601 0.101 0.799
Y 0.101 0.601 0.799
Y 0.899 0.399 0.201
Zn 0.500 0.500 0.000

Values from the calculation:
spin magnetization: 0.003 μB/f.u.
formation enthalpy at 0 K: -2.17 eV per formula unit
DFT total energy: -0.43568 Ry/atom

***

Record 12
## Y2ZnPd3 (PBE)

Data for an optimized crystal structure of Y2ZnPd3.

abc: 5.729 5.729 8.444
angles: 104.77 104.77 104.38
Sites, in units of the cell vectors:
Pd 0.653 0.173 0.826
Pd 0.171 0.171 0.342
Pd 0.829 0.829 0.658
Pd 0.827 0.347 0.174
Pd 0.173 0.653 0.826
Pd 0.347 0.827 0.174
Y 0.247 0.247 0.000
Y 0.753 0.753 0.000
Y 0.250 0.750 0.500
Y 0.750 0.250 0.500
Zn 0.667 0.667 0.333
Zn 0.333 0.333 0.667

Values from the calculation:
E above lowest polymorph: 43 meV/atom
spin magnetization: 0.000 μB/f.u.
formation enthalpy at 0 K: -4.45 eV per formula unit
DFT total energy: -0.41929 Ry/atom

***

Record 13
## Y2ZnPd (PBE)

Data for an optimized crystal structure of Y2ZnPd.

abc: 8.274 8.274 8.274
angles: 35.86 154.91 154.80
Sites, in units of the cell vectors:
Y 0.000 0.671 0.671
Y 0.000 0.329 0.329
Zn 0.000 0.000 0.000
Pd 0.000 0.500 0.500

Values from the calculation:
spin magnetization: 0.001 μB/f.u.
formation enthalpy at 0 K: -0.78 eV per formula unit
DFT total energy: -0.37064 Ry/atom

***

Record 14
## YZn3Pd (PBE)

Data for an optimized crystal structure of YZn3Pd.

abc: 5.416 5.416 5.416
angles: 90.00 90.00 90.00
Sites, in units of the cell vectors:
Zn 0.000 0.000 0.500
Zn 0.000 0.500 0.000
Zn 0.500 0.000 0.000
Y 0.000 0.000 0.000
Pd 0.500 0.500 0.500

Values from the calculation:
E above lowest polymorph: 1544 meV/atom
spin magnetization: 0.000 μB/f.u.
formation enthalpy at 0 K: 5.53 eV per formula unit
DFT total energy: -0.14627 Ry/atom

***

Record 15
## Y4ZnPd12 (PBE)

Data for an optimized crystal structure of Y4ZnPd12.

abc: 7.329 7.329 7.329
angles: 109.47 109.47 109.47
Sites, in units of the cell vectors:
Pd 0.288 0.288 0.000
Pd 0.250 0.750 0.500
Pd 0.712 0.000 0.712
Pd 0.000 0.712 0.712
Pd 0.712 0.712 0.000
Pd 0.500 0.250 0.750
Pd 0.750 0.500 0.250
Pd 0.250 0.500 0.750
Pd 0.500 0.750 0.250
Pd 0.750 0.250 0.500
Pd 0.288 0.000 0.288
Pd 0.000 0.288 0.288
Y 0.500 0.500 0.500
Y 0.000 0.500 0.000
Y 0.000 0.000 0.500
Y 0.500 0.000 0.000
Zn 0.000 0.000 0.000

Values from the calculation:
spin magnetization: 0.000 μB/f.u.
formation enthalpy at 0 K: -14.15 eV per formula unit
DFT total energy: -0.44790 Ry/atom

***

Record 16
## YZn2Pd6 (PBE)

Data for an optimized crystal structure of YZn2Pd6.

abc: 4.778 4.778 8.782
angles: 90.00 90.00 120.00
Sites, in units of the cell vectors:
Pd 0.341 0.000 0.738
Pd 0.341 0.341 0.262
Pd 0.000 0.659 0.262
Pd 0.659 0.000 0.262
Pd 0.000 0.341 0.738
Pd 0.659 0.659 0.738
Zn 0.667 0.333 0.500
Zn 0.333 0.667 0.500
Y 0.000 0.000 0.000

Values from the calculation:
spin magnetization: 0.000 μB/f.u.
formation enthalpy at 0 K: -2.55 eV per formula unit
DFT total energy: -0.34887 Ry/atom

***

Record 17
## Y2ZnPd (PBE)

Data for an optimized crystal structure of Y2ZnPd.

abc: 7.713 7.713 6.417
angles: 53.07 53.07 90.00
Sites, in units of the cell vectors:
Y 0.105 0.625 0.250
Y 0.375 0.355 0.750
Y 0.645 0.125 0.250
Y 0.875 0.895 0.750
Zn 0.500 0.500 0.000
Zn 0.250 0.750 0.500
Pd 0.000 0.000 0.000
Pd 0.750 0.250 0.500

Values from the calculation:
spin magnetization: 0.000 μB/f.u.
formation enthalpy at 0 K: -0.79 eV per formula unit
DFT total energy: -0.37089 Ry/atom

***

Record 18
## Y3Zn2Pd4 (PBE)

Data for an optimized crystal structure of Y3Zn2Pd4.

abc: 4.296 5.843 8.295
angles: 73.44 74.99 68.43
Sites, in units of the cell vectors:
Pd 0.919 0.749 0.413
Pd 0.288 0.357 0.068
Pd 0.081 0.251 0.587
Pd 0.712 0.643 0.932
Y 0.358 0.590 0.693
Y 0.642 0.410 0.307
Y 0.000 0.000 0.000
Zn 0.659 0.008 0.674
Zn 0.341 0.992 0.326

Values from the calculation:
E above lowest polymorph: 0 meV/atom
spin magnetization: 0.000 μB/f.u.
formation enthalpy at 0 K: -6.80 eV per formula unit
DFT total energy: -0.40434 Ry/atom

***

Record 19
## Y3Zn7Pd2 (PBE)

Data for an optimized crystal structure of Y3Zn7Pd2.

abc: 5.393 5.393 9.290
angles: 73.12 73.12 60.00
Sites, in units of the cell vectors:
Zn 0.416 0.921 0.246
Zn 0.921 0.416 0.246
Zn 0.416 0.416 0.246
Zn 0.079 0.584 0.754
Zn 0.584 0.584 0.754
Zn 0.584 0.079 0.754
Zn 0.500 0.500 0.500
Y 0.143 0.143 0.571
Y 0.000 0.000 0.000
Y 0.857 0.857 0.429
Pd 0.334 0.334 0.997
Pd 0.666 0.666 0.003

Values from the calculation:
spin magnetization: 0.000 μB/f.u.
formation enthalpy at 0 K: -5.51 eV per formula unit
DFT total energy: -0.27077 Ry/atom

***

Record 20
## Y2Zn3Pd (PBE)

Data for an optimized crystal structure of Y2Zn3Pd.

abc: 3.592 4.439 7.696
angles: 90.00 90.00 90.00
Sites, in units of the cell vectors:
Y 0.000 0.500 0.015
Y 0.000 0.000 0.486
Pd 0.500 0.500 0.336
Zn 0.500 0.000 0.829
Zn 0.500 0.000 0.158
Zn 0.500 0.500 0.675

Values from the calculation:
spin magnetization: 0.000 μB/f.u.
formation enthalpy at 0 K: -3.25 eV per formula unit
DFT total energy: -0.30866 Ry/atom